## Tb2DySc4 (GGA-PBE)

Data for an optimized crystal structure of Tb2DySc4.

As for the crystal system: tetragonal. The energy above the lowest structure with this stoichiometry is 77.4 meV/atom. The density is 5435 kg/m³. For the uncorrected energy, the calculation gives -37.44 eV for the cell shown. The value obtained for the energy of formation from the pure elements is 0.250 eV per atom.

abc: 6.482 6.482 6.482
angles: 103.48 103.48 122.27
Atoms (fractional coordinates):
Tb (0.250, 0.750, 0.500)
Tb (0.750, 0.250, 0.500)
Dy (0.000, 0.000, 0.000)
Sc (0.307, 0.307, 0.615)
Sc (0.307, 0.693, 0.000)
Sc (0.693, 0.307, 0.000)
Sc (0.693, 0.693, 0.385)